(1)
# Sm4YHo3S8 (GGA-PBE, optimized geometry)
# Volume: 1047.6 Å³ per cell
# E_form (uncorrected): -32.021 eV/f.u.
data_Sm4YHo3S8
_cell_length_a 7.8670
_cell_length_b 7.8670
_cell_length_c 19.5456
_cell_angle_alpha 90.00
_cell_angle_beta 90.00
_cell_angle_gamma 120.00
_space_group_name_H-M_alt 'R -3 m'
_space_group_IT_number 166
_space_group_name_Hall '-R 3 2"'
loop_
_atom_site_label
_atom_site_fract_x
_atom_site_fract_y
_atom_site_fract_z
Sm1 0.0000 0.0000 0.0000
Sm2 0.0000 0.5000 0.0000
Y1 0.0000 0.0000 0.5000
Ho1 0.0000 0.5000 0.5000
S1 0.0000 0.0000 0.2457
S2 0.0016 0.5008 0.7539

---

(2)
# Sm3Y4HoS8 (GGA-PBE, optimized geometry)
# Volume: 1045.7 Å³ per cell
# E_form (uncorrected): -31.983 eV/f.u.
data_Sm3Y4HoS8
_cell_length_a 7.8941
_cell_length_b 7.8941
_cell_length_c 19.3765
_cell_angle_alpha 90.00
_cell_angle_beta 90.00
_cell_angle_gamma 120.00
_space_group_name_H-M_alt 'R -3 m'
_space_group_IT_number 166
_space_group_name_Hall '-R 3 2"'
loop_
_atom_site_label
_atom_site_fract_x
_atom_site_fract_y
_atom_site_fract_z
Sm1 0.0000 0.5000 0.0000
Y1 0.0000 0.0000 0.5000
Y2 0.0000 0.5000 0.5000
Ho1 0.0000 0.0000 0.0000
S1 0.0000 0.0000 0.2469
S2 0.0058 0.5029 0.7516